[1]
DFT (PBE-GGA) results for crystalline Sm6Sc2Tl at its relaxed geometry.

The energy of formation comes out at -18.5 meV per atom. The calculation puts the spin magnetization at 0.00 μB per formula unit. The density of states at the Fermi level comes out at 26.612 states/eV/cell.

The structure belongs to space group P4_2/mnm (No. 136); the cell edges are 10.553, 10.553 and 4.908 Å and the angles 90.00°, 90.00° and 90.00°. The inequivalent atoms are Sm at (0.003, 0.330, 0.000), Sm at (0.157, 0.157, 0.500), Sc at (0.166, 0.834, 0.500) and Tl at (0.000, 0.000, 0.000).

---

[2]
DFT (PBE-GGA) results for crystalline FeCu2Pt6 at its relaxed geometry.

The energy of formation comes out at -169.9 meV per atom. For the energy above the most stable polymorph in this dataset, the calculation gives 0.0 meV per atom. The calculation puts the spin magnetization at 4.38 μB per formula unit. The density of states at the Fermi level comes out at 10.431 states/eV/cell.

The structure belongs to space group P4_2/mnm (No. 136); the cell edges are 8.188, 8.188 and 3.918 Å and the angles 90.00°, 90.00° and 90.00°. The inequivalent atoms are Fe at (0.000, 0.000, 0.000), Cu at (0.173, 0.173, 0.500), Pt at (0.005, 0.326, 0.000) and Pt at (0.153, 0.847, 0.500).

---

[3]
DFT (PBE-GGA) results for crystalline Y2ZnFeN at its relaxed geometry.

The uncorrected formation energy comes out at 534 kJ/mol of formula units. For the energy above the most stable polymorph in this dataset, the calculation gives 1805.6 meV per atom. The calculation puts the spin magnetization at 2.43 μB per formula unit. The density of states at the Fermi level comes out at 6.594 states/eV/cell.

The structure belongs to space group P4/mmm (No. 123); the cell edges are 5.252, 5.252 and 4.300 Å and the angles 90.00°, 90.00° and 90.00°. The inequivalent atoms are Y at (0.000, 0.500, 0.000), Zn at (0.000, 0.000, 0.000), Fe at (0.000, 0.000, 0.500) and N at (0.500, 0.500, 0.500).

---

[4]
DFT (PBE-GGA) results for crystalline SrMg2MnH8 at its relaxed geometry.

The value obtained for the total energy is -44.4 eV per formula unit. The calculation puts the spin magnetization at 1.00 μB per formula unit. The density of states at the Fermi level comes out at 1.242 states/eV/cell.

The structure belongs to space group P2/m (No. 10); the cell edges are 4.925, 4.543 and 5.670 Å and the angles 90.00°, 105.38° and 90.00°. The inequivalent atoms are Sr at (0.000, 0.000, 0.000), Mg at (0.448, 0.500, 0.729), Mn at (0.500, 0.000, 0.500), H at (0.232, 0.500, 0.960), H at (0.257, 0.251, 0.406) and H at (0.454, 0.000, 0.780).

---

[5]
DFT (PBE-GGA) results for crystalline CaB2Rh6 at its relaxed geometry.

The energy of formation comes out at 36.9 meV per atom. The calculation puts the spin magnetization at 0.66 μB per formula unit. The density of states at the Fermi level comes out at 106.392 states/eV/cell.

The structure belongs to space group Fd-3m (No. 227, origin choice 2); the cell edges are 10.660, 10.660 and 10.660 Å and the angles 90.00°, 90.00° and 90.00°. The inequivalent atoms are Ca at (0.125, 0.125, 0.125), B at (0.000, 0.000, 0.500) and Rh at (0.073, 0.375, 0.875).

---

[6]
DFT (PBE-GGA) results for crystalline NaPOsO2 at its relaxed geometry.

The uncorrected formation energy comes out at 684 kJ/mol of formula units. For the energy above the most stable polymorph in this dataset, the calculation gives 1902.4 meV per atom. The calculation puts the spin magnetization at 4.79 μB per formula unit. The density of states at the Fermi level comes out at 4.648 states/eV/cell.

The structure belongs to space group P4/mmm (No. 123); the cell edges are 3.832, 3.832 and 5.332 Å and the angles 90.00°, 90.00° and 90.00°. The inequivalent atoms are Na at (0.000, 0.000, 0.000), P at (0.000, 0.000, 0.500), Os at (0.500, 0.500, 0.500) and O at (0.000, 0.500, 0.000).

---

[7]
DFT (PBE-GGA) results for crystalline BaNaLiI4 at its relaxed geometry.

The uncorrected formation energy comes out at -960 kJ/mol of formula units. The calculation puts the spin magnetization at 0.00 μB per formula unit. The density of states at the Fermi level comes out at 0.000 states/eV/cell.

The structure belongs to space group P2_1/m (No. 11); the cell edges are 7.768, 8.206 and 9.256 Å and the angles 90.00°, 105.99° and 90.00°. The inequivalent atoms are Ba at (0.225, 0.250, 0.057), Na at (0.243, 0.250, 0.570), Li at (0.241, 0.750, 0.323), I at (0.007, 0.001, 0.746), I at (0.435, 0.750, 0.117) and I at (0.464, 0.750, 0.604).

---

[8]
DFT (PBE-GGA) results for crystalline KCeAg2Br8 at its relaxed geometry.

The uncorrected formation energy comes out at -1146 kJ/mol of formula units. The calculation puts the spin magnetization at 0.11 μB per formula unit. The density of states at the Fermi level comes out at 24.713 states/eV/cell.

The structure belongs to space group I-4m2 (No. 119); the cell edges are 9.869, 9.869 and 9.099 Å and the angles 90.00°, 90.00° and 90.00°. The inequivalent atoms are K at (0.000, 0.000, 0.000), Ce at (0.000, 0.500, 0.250), Ag at (0.000, 0.000, 0.500), Ag at (0.000, 0.500, 0.750), Br at (0.000, 0.214, 0.318) and Br at (0.000, 0.329, 0.973).

---

[9]
DFT (PBE-GGA) results for crystalline RhI2Br2 at its relaxed geometry.

The uncorrected formation energy comes out at 342 kJ/mol of formula units. For the energy above the most stable polymorph in this dataset, the calculation gives 566.9 meV per atom. The calculation puts the spin magnetization at 2.64 μB per formula unit. The density of states at the Fermi level comes out at 6.471 states/eV/cell.

The structure belongs to space group I4/mmm (No. 139); the cell edges are 4.188, 4.188 and 21.305 Å and the angles 90.00°, 90.00° and 90.00°. The inequivalent atoms are Rh at (0.000, 0.000, 0.000), I at (0.000, 0.500, 0.250) and Br at (0.000, 0.000, 0.426).

---

[10]
DFT (PBE-GGA) results for crystalline Mn3P2 at its relaxed geometry.

The energy of formation comes out at -372.9 meV per atom. The calculation puts the spin magnetization at 4.14 μB per formula unit. The density of states at the Fermi level comes out at 3.852 states/eV/cell.

The structure belongs to space group P-3m1 (No. 164); the cell edges are 3.7176, 3.7176 and 5.3112 Å and the angles 90.00°, 90.00° and 120.00°. The inequivalent atoms are Mn at (0.0000, 0.0000, 0.0000), Mn at (0.3333, 0.6667, 0.3316) and P at (0.3333, 0.6667, 0.7542).

---

[11]
DFT (PBE-GGA) results for crystalline ScBeOs2 at its relaxed geometry.

The energy of formation comes out at -80.8 meV per atom. The calculation puts the spin magnetization at 0.00 μB per formula unit. The density of states at the Fermi level comes out at 4.442 states/eV/cell.

The structure belongs to space group P4/mmm (No. 123); the cell edges are 3.025, 3.025 and 6.175 Å and the angles 90.00°, 90.00° and 90.00°. The inequivalent atoms are Sc at (0.000, 0.000, 0.000), Be at (0.000, 0.000, 0.500) and Os at (0.500, 0.500, 0.295).

---

[12]
DFT (PBE-GGA) results for crystalline Ca2MoRu at its relaxed geometry.

The energy of formation comes out at 350.0 meV per atom. For the energy above the most stable polymorph in this dataset, the calculation gives 127.1 meV per atom. The calculation puts the spin magnetization at 0.00 μB per formula unit. The density of states at the Fermi level comes out at 8.201 states/eV/cell.

The structure belongs to space group Imm2 (No. 44); the cell edges are 3.631, 5.229 and 9.983 Å and the angles 90.00°, 90.00° and 90.00°. The inequivalent atoms are Ca at (0.000, 0.000, 0.000), Ca at (0.000, 0.500, 0.215), Mo at (0.000, 0.500, 0.796) and Ru at (0.000, 0.000, 0.449).